Material: Cd2SbMoBr
Method: DFT, GGA-PBE
State: optimized geometry

Cell and atoms, written as extended XYZ:
```
5
Lattice="5.5775 0.0000 0.0000 0.0000 5.1389 0.0000 0.0000 0.0000 5.5775" Properties=species:S:1:pos:R:3 pbc="T T T"
Mo 0.0000 0.0000 0.0000
Br 2.7887 2.5695 2.7887
Cd 2.7887 0.0000 0.0000
Cd 0.0000 0.0000 2.7887
Sb 0.0000 2.5695 0.0000
```

Results
DOS(E_F)   0.58 states/eV per atom
Volume   31.97 Å³ per atom
Space group   P4/mmm, No. 123
Uncorrected formation energy   46.7 kJ/mol of atoms
Total energy   -3.21 eV per atom